Entry from the Alexandria database: crystalline SrCu at its relaxed geometry (GGA-PBE).

Lattice parameters (Å, degrees): 5.295 5.295 6.225 90.00 90.00 120.00
Positions (direct):
Sr 0.333 0.667 0.750
Sr 0.667 0.333 0.250
Cu 0.667 0.333 0.750
Cu 0.333 0.667 0.250

Summary:
For the formation energy from the elements, the calculation gives 0.29 eV/atom. The value obtained for the density of states at the Fermi level is 0.605 states/eV/atom.



Entry from the Alexandria database: crystalline Sr3Cu at its relaxed geometry (GGA-PBE).

Lattice parameters (Å, degrees): 6.059 6.059 6.059 60.00 60.00 60.00
Positions (direct):
Sr 0.500 0.500 0.500
Sr 0.250 0.250 0.250
Cu 0.000 0.000 0.000
Sr 0.750 0.750 0.750

Summary:
For the formation energy from the elements, the calculation gives 0.31 eV/atom. The value obtained for the density of states at the Fermi level is 1.250 states/eV/atom.